PBE-GGA Rb5Ce2O6, relaxed; VASP energy = -5.6561 eV/atom; symmetry = C2/c, No. 15; formation energy (no corrections) = -2.08 eV per atom; crystal system = monoclinic
1.0
5.191 -4.220 0.000
5.191 4.220 0.000
-3.190 0.000 14.112
Rb Ce O
10 4 12
direct
0.064 0.839 0.394 Rb
0.161 0.936 0.106 Rb
0.215 0.452 0.221 Rb
0.223 0.777 0.750 Rb
0.452 0.215 0.721 Rb
0.548 0.785 0.279 Rb
0.777 0.223 0.250 Rb
0.785 0.548 0.779 Rb
0.839 0.064 0.894 Rb
0.936 0.161 0.606 Rb
0.252 0.413 0.960 Ce
0.413 0.252 0.460 Ce
0.587 0.748 0.540 Ce
0.748 0.587 0.040 Ce
0.010 0.323 0.045 O
0.150 0.226 0.831 O
0.226 0.150 0.331 O
0.323 0.010 0.545 O
0.479 0.504 0.096 O
0.496 0.521 0.404 O
0.504 0.479 0.596 O
0.521 0.496 0.904 O
0.677 0.990 0.455 O
0.774 0.850 0.669 O
0.850 0.774 0.169 O
0.990 0.677 0.955 O